Entry 1:
GdTmMn | GGA-PBE | optimized geometry

Summary:
The total energy is -9.116 eV per atom. The space-group type is I4mm (107).

a b c (Å): 3.457 3.457 6.796
angles (deg): 104.73 104.73 90.00
Each line ends with the local moment (μB).
Atoms (fractional coordinates):
Gd1 0.030 0.030 0.060  7.25
Tm1 0.301 0.301 0.603  0.25
Mn1 0.669 0.669 0.337  -3.07


Entry 2:
GdTmMn2 | GGA-PBE | optimized geometry

Summary:
The total energy is -9.048 eV per atom. The space-group type is P4/mmm (123).

a b c (Å): 3.392 5.026 5.026
angles (deg): 90.00 90.00 90.00
Each line ends with the local moment (μB).
Atoms (fractional coordinates):
Gd1 0.500 0.500 0.500  -7.32
Tm1 0.500 0.000 0.000  -0.25
Mn1 0.000 0.000 0.500  3.34
Mn2 0.000 0.500 0.000  3.34


Entry 3:
Gd2TmMn | GGA-PBE | optimized geometry

Summary:
The total energy is -10.330 eV per atom. The space-group type is P4/mmm (123).

a b c (Å): 3.528 3.528 8.665
angles (deg): 90.00 90.00 90.00
Each line ends with the local moment (μB).
Atoms (fractional coordinates):
Gd1 0.000 0.000 0.795  -7.19
Gd2 0.000 0.000 0.205  -7.19
Tm1 0.500 0.500 0.500  0.29
Mn1 0.500 0.500 0.000  3.36


Entry 4:
GdTmMn4 | GGA-PBE | optimized geometry

Summary:
The total energy is -9.056 eV per atom. The space-group type is F-43m (216).

a b c (Å): 5.090 5.090 5.090
angles (deg): 60.00 60.00 60.00
Each line ends with the local moment (μB).
Atoms (fractional coordinates):
Gd1 0.000 0.000 0.000  6.97
Tm1 0.250 0.250 0.250  -0.07
Mn1 0.625 0.625 0.126  0.41
Mn2 0.625 0.126 0.625  0.41
Mn3 0.625 0.625 0.625  0.41
Mn4 0.126 0.625 0.625  0.41


Entry 5:
GdTm3Mn | GGA-PBE | optimized geometry

Summary:
The total energy is -7.129 eV per atom. The space-group type is Pm-3m (221).

a b c (Å): 5.229 5.229 5.229
angles (deg): 90.00 90.00 90.00
Each line ends with the local moment (μB).
Atoms (fractional coordinates):
Gd1 0.500 0.500 0.500  7.10
Tm1 0.000 0.500 0.000  -0.01
Tm2 0.000 0.000 0.500  -0.01
Tm3 0.500 0.000 0.000  -0.01
Mn1 0.000 0.000 0.000  1.27


Entry 6:
Gd2TmMn | GGA-PBE | optimized geometry

Summary:
The total energy is -10.183 eV per atom. The space-group type is P4/mmm (123).

a b c (Å): 4.671 4.788 4.788
angles (deg): 90.00 90.00 90.00
Each line ends with the local moment (μB).
Atoms (fractional coordinates):
Gd1 0.000 0.000 0.500  6.95
Gd2 0.000 0.500 0.000  6.95
Tm1 0.500 0.000 0.000  -0.23
Mn1 0.500 0.500 0.500  3.70


Entry 7:
Gd2TmMn | GGA-PBE | optimized geometry

Summary:
The total energy is -9.896 eV per atom. The space-group type is R-3m (166).

a b c (Å): 3.360 3.360 11.600
angles (deg): 81.67 81.67 60.00
Each line ends with the local moment (μB).
Atoms (fractional coordinates):
Gd1 0.082 0.082 0.754  7.03
Gd2 0.918 0.918 0.246  7.03
Tm1 0.500 0.500 0.500  0.01
Mn1 0.000 0.000 0.000  3.64


Entry 8:
GdUMn2 | GGA-PBE | optimized geometry

Summary:
The total energy is -10.822 eV per atom. The space-group type is P4/mmm (123).

a b c (Å): 3.284 3.284 6.981
angles (deg): 90.00 90.00 90.00
Each line ends with the local moment (μB).
Atoms (fractional coordinates):
Gd1 0.500 0.500 0.500  7.23
U1 0.500 0.500 0.000  1.76
Mn1 0.000 0.000 0.808  -1.95
Mn2 0.000 0.000 0.192  -1.95


Entry 9:
GdUMn | GGA-PBE | optimized geometry

Summary:
The total energy is -11.361 eV per atom. The space-group type is I4mm (107).

a b c (Å): 3.312 3.312 6.069
angles (deg): 105.83 105.83 90.00
Each line ends with the local moment (μB).
Atoms (fractional coordinates):
Gd1 0.002 0.002 0.003  7.08
U1 0.707 0.707 0.414  -0.22
Mn1 0.291 0.291 0.583  0.02


Entry 10:
GdUMn2 | GGA-PBE | optimized geometry

Summary:
The total energy is -10.598 eV per atom. The space-group type is R-3m (166).

a b c (Å): 3.253 3.253 8.198
angles (deg): 78.56 78.56 60.00
Each line ends with the local moment (μB).
Atoms (fractional coordinates):
Gd1 0.500 0.500 0.500  7.15
U1 0.000 0.000 0.000  0.18
Mn1 0.734 0.734 0.797  -0.13
Mn2 0.266 0.266 0.203  -0.13


Entry 11:
GdUMn4 | GGA-PBE | optimized geometry

Summary:
The total energy is -10.173 eV per atom. The space-group type is F-43m (216).

a b c (Å): 5.106 5.106 5.106
angles (deg): 60.00 60.00 60.00
Each line ends with the local moment (μB).
Atoms (fractional coordinates):
Gd1 0.000 0.000 0.000  6.71
U1 0.250 0.250 0.250  -1.91
Mn1 0.624 0.624 0.129  1.88
Mn2 0.624 0.129 0.624  1.88
Mn3 0.624 0.624 0.624  1.88
Mn4 0.129 0.624 0.624  1.88


Entry 12:
GdYMn | GGA-PBE | optimized geometry

Summary:
The total energy is -9.140 eV per atom. The space-group type is I4mm (107).

a b c (Å): 3.173 3.173 8.573
angles (deg): 100.66 100.66 90.00
Each line ends with the local moment (μB).
Atoms (fractional coordinates):
Y1 0.655 0.655 0.309  0.11
Gd1 0.863 0.863 0.727  6.77
Mn1 0.482 0.482 0.964  3.23


Entry 13:
GdY2Mn | GGA-PBE | optimized geometry

Summary:
The total energy is -8.710 eV per atom. The space-group type is Fm-3m (225).

a b c (Å): 5.389 5.389 5.393
angles (deg): 60.02 60.02 60.00
Each line ends with the local moment (μB).
Atoms (fractional coordinates):
Y1 0.750 0.750 0.750  -0.10
Y2 0.250 0.250 0.250  -0.10
Gd1 0.000 0.000 0.000  7.02
Mn1 0.500 0.500 0.500  3.85


Entry 14:
GdY2Mn | GGA-PBE | optimized geometry

Summary:
The total energy is -8.931 eV per atom. The space-group type is P4/mmm (123).

a b c (Å): 3.564 3.564 8.684
angles (deg): 90.00 90.00 90.00
Each line ends with the local moment (μB).
Atoms (fractional coordinates):
Y1 0.000 0.000 0.199  -0.11
Y2 0.000 0.000 0.801  -0.11
Gd1 0.500 0.500 0.500  7.39
Mn1 0.500 0.500 0.000  3.38


Entry 15:
GdYMn4 | GGA-PBE | optimized geometry

Summary:
The total energy is -9.366 eV per atom. The space-group type is F-43m (216).

a b c (Å): 5.151 5.151 5.151
angles (deg): 60.00 60.00 60.00
Each line ends with the local moment (μB).
Atoms (fractional coordinates):
Y1 0.000 0.000 0.000  -0.21
Gd1 0.250 0.250 0.250  -7.22
Mn1 0.625 0.625 0.125  1.37
Mn2 0.625 0.125 0.625  1.37
Mn3 0.625 0.625 0.625  1.37
Mn4 0.125 0.625 0.625  1.37


Entry 16:
GdYMnZn | GGA-PBE | optimized geometry

Summary:
The total energy is -7.764 eV per atom. The space-group type is F-43m (216).

a b c (Å): 5.057 5.057 5.057
angles (deg): 60.00 60.00 60.00
Each line ends with the local moment (μB).
Atoms (fractional coordinates):
Y1 0.000 0.000 0.000  -0.19
Zn1 0.750 0.750 0.750  -0.03
Gd1 0.500 0.500 0.500  6.88
Mn1 0.250 0.250 0.250  3.44


Entry 17:
GdZrMn | GGA-PBE | optimized geometry

Summary:
The total energy is -10.455 eV per atom. The space-group type is I4mm (107).

a b c (Å): 3.473 3.473 6.086
angles (deg): 106.58 106.58 90.00
Each line ends with the local moment (μB).
Atoms (fractional coordinates):
Gd1 0.013 0.013 0.026  7.30
Mn1 0.691 0.691 0.383  -2.44
Zr1 0.296 0.296 0.591  0.56


Entry 18:
GdZr2Mn | GGA-PBE | optimized geometry

Summary:
The total energy is -9.998 eV per atom. The space-group type is P4/mmm (123).

a b c (Å): 3.245 3.245 8.288
angles (deg): 90.00 90.00 90.00
Each line ends with the local moment (μB).
Atoms (fractional coordinates):
Mn1 0.500 0.500 0.000  0.19
Gd1 0.500 0.500 0.500  7.26
Zr1 0.000 0.000 0.183  0.03
Zr2 0.000 0.000 0.817  0.03


Entry 19:
GdNbMo4 | GGA-PBE | optimized geometry

Summary:
The total energy is -11.117 eV per atom. The space-group type is F-43m (216).

a b c (Å): 5.408 5.408 5.408
angles (deg): 60.00 60.00 60.00
Each line ends with the local moment (μB).
Atoms (fractional coordinates):
Mo1 0.625 0.625 0.124  -0.04
Mo2 0.625 0.124 0.625  -0.04
Mo3 0.625 0.625 0.625  -0.04
Mo4 0.124 0.625 0.625  -0.04
Gd1 0.250 0.250 0.250  7.04
Nb1 0.000 0.000 0.000  -0.03